Record 1
Entry from the Alexandria database: Ni2Hg2Au after structural relaxation (PBE-GGA).

a = 8.1002 Å, b = 8.1002 Å, c = 8.1002 Å
α = 155.76°, β = 155.76°, γ = 34.55°
Sites, in units of the cell vectors:
1 Ni 0.2500 0.7500 0.5000
2 Ni 0.7500 0.2500 0.5000
3 Hg 0.1140 0.1140 0.0000
4 Hg 0.8860 0.8860 0.0000
5 Au 0.5000 0.5000 0.0000

V = 17.9 A^3/atom
excess energy over the best structure of this formula in the dataset = 0.67 eV per formula unit
energy of formation = 289 meV/atom

=====

Record 2
Entry from the Alexandria database: BaIr2W after structural relaxation (PBE-GGA).

a = 10.1270 Å, b = 10.1270 Å, c = 10.1270 Å
α = 16.94°, β = 16.94°, γ = 16.94°
Sites, in units of the cell vectors:
1 Ba 0.0000 0.0000 0.0000
2 Ir 0.2355 0.2355 0.2355
3 Ir 0.7645 0.7645 0.7645
4 W 0.5000 0.5000 0.5000

V = 19.2 A^3/atom
excess energy over the best structure of this formula in the dataset = 2.00 eV per formula unit
energy of formation = 572 meV/atom

=====

Record 3
Entry from the Alexandria database: La2HoPt after structural relaxation (PBE-GGA).

a = 9.6602 Å, b = 9.6602 Å, c = 9.6602 Å
α = 24.06°, β = 24.06°, γ = 24.06°
Sites, in units of the cell vectors:
1 La 0.0000 0.0000 0.0000
2 La 0.2063 0.2063 0.2063
3 Ho 0.7699 0.7699 0.7699
4 Pt 0.6034 0.6034 0.6034

V = 32.9 A^3/atom
excess energy over the best structure of this formula in the dataset = 0.75 eV per formula unit
energy of formation = -464 meV/atom

=====

Record 4
Entry from the Alexandria database: Pr12Er5Pu after structural relaxation (PBE-GGA).

a = 10.9121 Å, b = 10.9121 Å, c = 6.3023 Å
α = 106.33°, β = 106.33°, γ = 59.98°
Sites, in units of the cell vectors:
1 Pr 0.0014 0.3293 0.5003
2 Pr 0.1633 0.8367 0.0000
3 Pr 0.1684 0.4976 0.9994
4 Pr 0.3293 0.0014 0.5003
5 Pr 0.3328 0.6672 0.5000
6 Pr 0.4976 0.1684 0.9994
7 Pr 0.5024 0.8316 0.0006
8 Pr 0.6672 0.3328 0.5000
9 Pr 0.6707 0.9986 0.4997
10 Pr 0.8316 0.5024 0.0006
11 Pr 0.8367 0.1633 0.0000
12 Pr 0.9986 0.6707 0.4997
13 Er 0.1657 0.1657 0.9972
14 Er 0.3329 0.3329 0.4981
15 Er 0.5000 0.5000 0.0000
16 Er 0.6671 0.6671 0.5019
17 Er 0.8343 0.8343 0.0028
18 Pu 0.0000 0.0000 0.5000

V = 34.1 A^3/atom
energy of formation = 39 meV/atom